1.
Here is a relaxed ErGaAu crystal from Alexandria via LeMat-Bulk. Energies are from GGA-PBE.

abc: 10.448 4.472 7.082
angles: 90.00 131.60 90.00
Fractional coordinates of all 12 atoms:
Er (0.039, 0.000, 0.298)
Er (0.461, 0.500, 0.702)
Er (0.539, 0.500, 0.298)
Er (0.961, 0.000, 0.702)
Ga (0.157, 0.500, 0.103)
Ga (0.343, 0.000, 0.897)
Ga (0.657, 0.000, 0.103)
Ga (0.843, 0.500, 0.897)
Au (0.177, 0.500, 0.714)
Au (0.323, 0.000, 0.286)
Au (0.677, 0.000, 0.714)
Au (0.823, 0.500, 0.286)

Summary:
**DFT formation energy**: -0.784 eV per atom
**DFT total energy**: -4.407 eV per atom
**N(E_F)**: 0.513 states/eV/atom

=====

2.
Here is a relaxed ScIn2Ir crystal from Alexandria via LeMat-Bulk. Energies are from GGA-PBE.

abc: 4.173 4.173 4.461
angles: 90.00 90.00 90.00
Fractional coordinates of all 4 atoms:
Sc (0.000, 0.000, 0.000)
In (0.000, 0.500, 0.500)
In (0.500, 0.000, 0.500)
Ir (0.500, 0.500, 0.000)

Summary:
**DFT formation energy**: -0.313 eV per atom
**DFT total energy**: -5.480 eV per atom
**N(E_F)**: 0.645 states/eV/atom

=====

3.
Here is a relaxed TaCuBr2 crystal from Alexandria via LeMat-Bulk. Energies are from GGA-PBE.

abc: 6.231 6.231 9.788
angles: 90.00 90.00 90.00
Fractional coordinates of all 16 atoms:
Ta (0.000, 0.000, 0.000)
Ta (0.000, 0.500, 0.250)
Ta (0.500, 0.000, 0.750)
Ta (0.500, 0.500, 0.500)
Cu (0.000, 0.000, 0.500)
Cu (0.000, 0.500, 0.750)
Cu (0.500, 0.000, 0.250)
Cu (0.500, 0.500, 0.000)
Br (0.230, 0.250, 0.625)
Br (0.250, 0.730, 0.875)
Br (0.250, 0.770, 0.375)
Br (0.270, 0.250, 0.125)
Br (0.730, 0.750, 0.125)
Br (0.750, 0.230, 0.375)
Br (0.750, 0.270, 0.875)
Br (0.770, 0.750, 0.625)

Summary:
**DFT total energy**: -4.036 eV per atom
**N(E_F)**: 1.108 states/eV/atom
**E above lowest polymorph**: 3.70 eV per formula unit
**Formation energy (no corrections)**: 788 meV per atom

=====

4.
Here is a relaxed Ba2SrAg crystal from Alexandria via LeMat-Bulk. Energies are from GGA-PBE.

abc: 4.544 14.844 11.297
angles: 90.00 90.00 90.00
Fractional coordinates of all 16 atoms:
Ba (0.000, 0.140, 0.067)
Ba (0.000, 0.140, 0.433)
Ba (0.000, 0.860, 0.567)
Ba (0.000, 0.860, 0.933)
Ba (0.500, 0.360, 0.567)
Ba (0.500, 0.360, 0.933)
Ba (0.500, 0.640, 0.067)
Ba (0.500, 0.640, 0.433)
Sr (0.000, 0.418, 0.250)
Sr (0.000, 0.582, 0.750)
Sr (0.500, 0.082, 0.750)
Sr (0.500, 0.918, 0.250)
Ag (0.000, 0.245, 0.750)
Ag (0.000, 0.755, 0.250)
Ag (0.500, 0.255, 0.250)
Ag (0.500, 0.745, 0.750)

Summary:
**DFT formation energy**: -0.138 eV per atom
**DFT total energy**: -2.233 eV per atom
**N(E_F)**: 1.205 states/eV/atom
**E above lowest polymorph**: 0.03 eV per formula unit

=====

5.
Here is a relaxed La2Pr4Sm2Dy crystal from Alexandria via LeMat-Bulk. Energies are from GGA-PBE.

abc: 9.813 9.813 9.879
angles: 115.08 115.08 21.85
Fractional coordinates of all 9 atoms:
La (0.165, 0.165, 0.499)
La (0.835, 0.835, 0.501)
Pr (0.018, 0.018, 0.832)
Pr (0.315, 0.315, 0.167)
Pr (0.685, 0.685, 0.833)
Pr (0.982, 0.982, 0.168)
Sm (0.352, 0.352, 0.832)
Sm (0.648, 0.648, 0.168)
Dy (0.500, 0.500, 0.500)

Summary:
**DFT formation energy**: 0.011 eV per atom
**DFT total energy**: -4.768 eV per atom
**N(E_F)**: 1.407 states/eV/atom

=====

6.
Here is a relaxed Pr3Sm4Tl4 crystal from Alexandria via LeMat-Bulk. Energies are from GGA-PBE.

abc: 10.909 10.909 10.909
angles: 159.82 127.09 57.20
Fractional coordinates of all 11 atoms:
Pr (0.000, 0.000, 0.000)
Pr (0.402, 0.902, 0.500)
Pr (0.598, 0.098, 0.500)
Sm (0.023, 0.336, 0.688)
Sm (0.352, 0.664, 0.688)
Sm (0.648, 0.336, 0.312)
Sm (0.977, 0.664, 0.312)
Tl (0.266, 0.266, 0.000)
Tl (0.279, 0.500, 0.779)
Tl (0.721, 0.500, 0.221)
Tl (0.734, 0.734, 0.000)

Summary:
**DFT formation energy**: -0.243 eV per atom
**DFT total energy**: -4.123 eV per atom
**N(E_F)**: 1.220 states/eV/atom